Entry 1:
DFT (GGA-PBE) results for an optimized crystal structure of OsSe5.

Output
Crystal system   monoclinic
Formation energy from raw total energies   0.187 eV/atom

a b c (Å): 6.7488 6.7488 6.8220
angles (deg): 81.69 81.69 30.16
Closest atoms and distances in Å follow each position.
Element x y z (fractional)
Se: 0.0194 0.0194 0.4521  4 Se 2.69-2.77, 1 Os 2.89
Se: 0.3315 0.3315 0.9383  2 Os 2.46
Se: 0.3704 0.3704 0.3535  2 Os 2.49, 2 Se 2.77
Se: 0.5678 0.5678 0.0074  1 Se 2.44, 2 Os 2.60
Os: 0.9214 0.9214 0.0990  6 Se 2.46-2.60
Se: 0.6228 0.6228 0.6497  3 Se 2.44-2.69

Entry 2:
DFT (GGA-PBE) results for an optimized crystal structure of OsSe3.

Output
Crystal system   trigonal
Formation energy from raw total energies   0.332 eV/atom

a b c (Å): 8.0984 8.0984 8.0984
angles (deg): 25.02 25.02 25.02
Closest atoms and distances in Å follow each position.
Element x y z (fractional)
Se: 0.5000 0.5000 0.5000  12 Se 3.18-3.51
Os: 0.0000 0.0000 0.0000  6 Se 2.50
Se: 0.2708 0.2708 0.2708  3 Os 2.50
Se: 0.7292 0.7292 0.7292  3 Os 2.50

Entry 3:
DFT (GGA-PBE) results for an optimized crystal structure of Os2Se.

Output
Crystal system   tetragonal
Formation energy from raw total energies   0.914 eV/atom

a b c (Å): 5.3723 5.3723 5.3723
angles (deg): 123.57 123.57 83.92
Closest atoms and distances in Å follow each position.
Element x y z (fractional)
Os: 0.8249 0.3249 0.1499  5 Os 2.52-2.65, 4 Se 2.74
Os: 0.1751 0.6751 0.8501  5 Os 2.52-2.65, 4 Se 2.74
Os: 0.6751 0.8249 0.5000  5 Os 2.52-2.65, 4 Se 2.74
Se: 0.2500 0.2500 0.0000  8 Os 2.74
Os: 0.3249 0.1751 0.5000  5 Os 2.52-2.65, 4 Se 2.74
Se: 0.7500 0.7500 0.0000  8 Os 2.74

Values of distance to the lowest polymorph of the same formula, in order: 0.042 0.135 0.595, all in eV/atom.